Compound: BaMg6Pb2
Source: Alexandria
Functional: GGA-PBE
Structure: relaxed

Cell and atoms, written as extended XYZ:
```
9
Lattice="4.888 0.000 0.000 0.000 4.888 0.000 0.000 0.000 10.523" Properties=species:S:1:pos:R:3 pbc="T T T"
Ba 0.000 0.000 0.000
Mg 0.000 0.000 5.261
Mg 0.000 2.444 3.296
Mg 0.000 2.444 7.227
Mg 2.444 0.000 3.296
Mg 2.444 0.000 7.227
Mg 2.444 2.444 5.261
Pb 2.444 2.444 1.583
Pb 2.444 2.444 8.940
```

Values from the calculation:
total DFT energy (no corrections) = -2.285 eV/atom